ErCrO3: optimized geometry, GGA+U.

Output
- space-group type = Pnma (62)
- V (Å³/atom) = 11.22
- crystal system = orthorhombic
- electronic total energy (eV/atom) = -8.217
- spin magnetization (μB/cell) = 12.0

a = 5.590 Å, b = 7.622 Å, c = 5.266 Å
α = 90.00°, β = 90.00°, γ = 90.00°
Atoms (fractional coordinates):
Er (0.070, 0.250, 0.021)
Er (0.430, 0.750, 0.521)
Er (0.570, 0.250, 0.479)
Er (0.930, 0.750, 0.979)
Cr (0.000, 0.000, 0.500)
Cr (0.000, 0.500, 0.500)
Cr (0.500, 0.000, 0.000)
Cr (0.500, 0.500, 0.000)
O (0.045, 0.750, 0.381)
O (0.195, 0.561, 0.810)
O (0.195, 0.939, 0.810)
O (0.305, 0.061, 0.310)
O (0.305, 0.439, 0.310)
O (0.455, 0.250, 0.881)
O (0.545, 0.750, 0.119)
O (0.695, 0.561, 0.690)
O (0.695, 0.939, 0.690)
O (0.805, 0.061, 0.190)
O (0.805, 0.439, 0.190)
O (0.955, 0.250, 0.619)